This record from OQMD describes crystalline Tb2CoGe4O12 at its relaxed geometry. The functional is PBE with a Hubbard U.

a b c (Å): 4.900 7.158 7.910
angles (deg): 67.31 87.87 78.78
Fractional coordinates of all 19 atoms:
Tb  0.053  0.266  0.456
Tb  0.947  0.734  0.544
Co  0.000  0.500  0.000
Ge  0.416  0.878  0.796
Ge  0.458  0.664  0.221
Ge  0.542  0.336  0.779
Ge  0.584  0.122  0.204
O  0.224  0.923  0.599
O  0.225  0.567  0.389
O  0.251  0.264  0.193
O  0.251  0.791  0.009
O  0.257  0.515  0.795
O  0.402  0.154  0.724
O  0.598  0.846  0.276
O  0.743  0.485  0.205
O  0.749  0.209  0.991
O  0.749  0.736  0.807
O  0.775  0.433  0.611
O  0.776  0.077  0.401

Calculated values
Calculated total energy ... -6.986 eV/atom
SG ... P-1 (2)
Crystal system ... triclinic